A plane-wave DFT calculation with PBE was carried out for a geometry-optimized Pr2NdSmTh structure.

Geometry as POSCAR:
```
Pr2NdSmTh
1.0
-3.760 0.465 7.643
-5.760 -1.000 -2.773
2.156 -6.169 1.436
Pr Nd Sm Th
4 2 2 2
Cartesian
-5.229 -4.477 4.098
-2.351 -5.152 5.555
-5.013 -1.552 0.751
-2.135 -2.228 2.208
-1.606 -5.085 0.388
-5.758 -1.620 5.918
-1.949 -1.235 5.416
0.345 -4.470 3.663
0.000 0.000 0.000
1.078 -3.085 0.718
```

space group: P2/c (13)
DFT formation energy: 1.17 eV/f.u.
crystal system: monoclinic